Material: CdAg2O
Method: DFT, GGA-PBE
State: optimized geometry

Lattice parameters (Å, degrees): 7.3150 7.3150 7.3150 136.23 136.23 63.62
Closest atoms and distances in Å follow each position.
Sites, in units of the cell vectors:
Cd 0.0000 0.0000 0.0000  4 Ag 2.99
Cd 0.7500 0.2500 0.5000  4 Ag 2.99
Ag 0.2714 0.6250 0.1464  2 O 2.14
Ag 0.3750 0.5214 0.6464  2 O 2.14
Ag 0.4786 0.1250 0.8536  2 O 2.14
Ag 0.8750 0.7286 0.3536  2 O 2.14
O 0.2500 0.7500 0.5000  4 Ag 2.14
O 0.5000 0.5000 0.0000  4 Ag 2.14

## Properties
- Energy above the most stable polymorph in this dataset: 0.0 meV/atom
- Formation energy without anion corrections: 0.07 eV/atom
- Crystal system: tetragonal
- Spin magnetization: 0.00 μB/atom

---

Material: Sm5Sb
Method: DFT, GGA-PBE
State: optimized geometry

Lattice parameters (Å, degrees): 8.0392 8.0392 4.9249 90.00 90.00 144.53
Closest atoms and distances in Å follow each position.
Sites, in units of the cell vectors:
Sm 0.0000 0.0000 0.0000  8 Sm 3.46-3.50, 4 Sb 3.47
Sm 0.1592 0.8408 0.5000  2 Sb 3.45, 10 Sm 3.46-3.71
Sm 0.3371 0.6629 0.0000  10 Sm 3.47-3.67, 2 Sb 3.50
Sm 0.6629 0.3371 0.0000  10 Sm 3.47-3.67, 2 Sb 3.50
Sm 0.8408 0.1592 0.5000  2 Sb 3.45, 10 Sm 3.46-3.71
Sb 0.5000 0.5000 0.5000  12 Sm 3.45-3.50

## Properties
- Formation energy without anion corrections: -0.32 eV/atom
- Crystal system: orthorhombic
- Spin magnetization: 0.00 μB/atom

---

Q: formation energy without anion corrections of number 1 (CdAg2O)?
A: 0.07 eV/atom

---

Q: What is the spin magnetization in the first record?
A: 0.00 μB/atom

---

Q: The highest formation energy without anion corrections belongs to which entry?
A: CdAg2O

---

Q: Which of these has the lowest formation energy without anion corrections?
A: Sm5Sb